Material: Ca2CdPt
Method: DFT, PBE-GGA
State: relaxed

Geometry as CIF:
```
data_Ca2CdPt
_space_group_name_H-M_alt 'P 4 m m'
_space_group_IT_number 99
_space_group_name_Hall 'P 4 -2'
_cell_length_a 3.671
_cell_length_b 3.671
_cell_length_c 7.920
_cell_angle_alpha 90.00
_cell_angle_beta 90.00
_cell_angle_gamma 90.00
loop_
_atom_site_label
_atom_site_fract_x
_atom_site_fract_y
_atom_site_fract_z
_atom_site_occupancy
Ca1 0.000 0.000 0.000 1
Ca2 0.500 0.500 0.388 1
Cd1 0.000 0.000 0.623 1
Pt1 0.500 0.500 0.792 1
```

Output
As for the total DFT energy (no corrections): -3.17 eV per atom. The density of states at the Fermi level comes out at 0.4784 states/eV per atom. The calculation puts the formation energy from the elements at -1.71 eV per formula unit.

Material: CoSn2GeBi
Method: DFT, PBE-GGA
State: relaxed

Geometry as CIF:
```
data_CoSn2GeBi
_space_group_name_H-M_alt 'P 4/m m m'
_space_group_IT_number 123
_space_group_name_Hall '-P 4 2'
_cell_length_a 5.089
_cell_length_b 5.089
_cell_length_c 4.565
_cell_angle_alpha 90.00
_cell_angle_beta 90.00
_cell_angle_gamma 90.00
loop_
_atom_site_label
_atom_site_fract_x
_atom_site_fract_y
_atom_site_fract_z
_atom_site_occupancy
Co1 0.000 0.000 0.000 1
Sn1 0.000 0.500 0.000 1
Ge1 0.000 0.000 0.500 1
Bi1 0.500 0.500 0.500 1
```

Output
As for the total DFT energy (no corrections): -4.64 eV per atom. The density of states at the Fermi level comes out at 0.4644 states/eV per atom. The calculation puts the formation energy from the elements at 0.41 eV per formula unit.

Material: Pm6Ni2Pt
Method: DFT, PBE-GGA
State: relaxed

Geometry as CIF:
```
data_Pm6Ni2Pt
_space_group_name_H-M_alt 'I m m m'
_space_group_IT_number 71
_space_group_name_Hall '-I 2 2'
_cell_length_a 9.556
_cell_length_b 9.869
_cell_length_c 9.881
_cell_angle_alpha 90.00
_cell_angle_beta 90.00
_cell_angle_gamma 90.00
loop_
_atom_site_label
_atom_site_fract_x
_atom_site_fract_y
_atom_site_fract_z
_atom_site_occupancy
Pm1 0.000 0.249 0.183 1
Pm2 0.189 0.170 0.500 1
Pm3 0.228 0.500 0.325 1
Ni1 0.000 0.000 0.340 1
Ni2 0.000 0.382 0.500 1
Pt1 0.000 0.000 0.000 1
Pt2 0.000 0.500 0.000 1
```

Output
As for the total DFT energy (no corrections): -5.53 eV per atom. The density of states at the Fermi level comes out at 0.8633 states/eV per atom. The calculation puts the formation energy from the elements at -3.66 eV per formula unit.

Material: TaSiTc2
Method: DFT, PBE-GGA
State: relaxed

Geometry as CIF:
```
data_TaSiTc2
_space_group_name_H-M_alt 'P m m m'
_space_group_IT_number 47
_space_group_name_Hall '-P 2 2'
_cell_length_a 3.173
_cell_length_b 4.069
_cell_length_c 4.636
_cell_angle_alpha 90.00
_cell_angle_beta 90.00
_cell_angle_gamma 90.00
loop_
_atom_site_label
_atom_site_fract_x
_atom_site_fract_y
_atom_site_fract_z
_atom_site_occupancy
Ta1 0.000 0.000 0.000 1
Si1 0.500 0.000 0.500 1
Tc1 0.000 0.500 0.500 1
Tc2 0.500 0.500 0.000 1
```

Output
As for the total DFT energy (no corrections): -9.65 eV per atom. The density of states at the Fermi level comes out at 0.8641 states/eV per atom. The raw formation energy is -0.149 eV/atom.

Material: TePb2O
Method: DFT, PBE-GGA
State: relaxed

Geometry as CIF:
```
data_TePb2O
_space_group_name_H-M_alt 'F m -3 m'
_space_group_IT_number 225
_space_group_name_Hall '-F 4 2 3'
_cell_length_a 7.368
_cell_length_b 7.368
_cell_length_c 7.368
_cell_angle_alpha 90.00
_cell_angle_beta 90.00
_cell_angle_gamma 90.00
loop_
_atom_site_label
_atom_site_fract_x
_atom_site_fract_y
_atom_site_fract_z
_atom_site_occupancy
Te1 0.000 0.000 0.000 1
Pb1 0.250 0.250 0.250 1
O1 0.000 0.000 0.500 1
```

Output
As for the total DFT energy (no corrections): -3.96 eV per atom. As for the distance to the lowest polymorph of the same formula: 598.2 meV/atom. The density of states at the Fermi level comes out at 0.3473 states/eV per atom. The raw formation energy is -0.083 eV/atom.

Material: KCdSn3
Method: DFT, PBE-GGA
State: relaxed

Geometry as CIF:
```
data_KCdSn3
_space_group_name_H-M_alt 'P m -3 m'
_space_group_IT_number 221
_space_group_name_Hall '-P 4 2 3'
_cell_length_a 5.969
_cell_length_b 5.969
_cell_length_c 5.969
_cell_angle_alpha 90.00
_cell_angle_beta 90.00
_cell_angle_gamma 90.00
loop_
_atom_site_label
_atom_site_fract_x
_atom_site_fract_y
_atom_site_fract_z
_atom_site_occupancy
K1 0.000 0.000 0.000 1
Cd1 0.500 0.500 0.500 1
Sn1 0.000 0.000 0.500 1
```

Output
As for the total DFT energy (no corrections): -1.72 eV per atom. As for the distance to the lowest polymorph of the same formula: 1233.7 meV/atom. The density of states at the Fermi level comes out at 1.2385 states/eV per atom. The calculation puts the formation energy from the elements at 5.40 eV per formula unit.

Material: ErThMnZn
Method: DFT, PBE-GGA
State: relaxed

Geometry as CIF:
```
data_ErThMnZn
_space_group_name_H-M_alt 'F -4 3 m'
_space_group_IT_number 216
_space_group_name_Hall 'F -4 2 3'
_cell_length_a 7.125
_cell_length_b 7.125
_cell_length_c 7.125
_cell_angle_alpha 90.00
_cell_angle_beta 90.00
_cell_angle_gamma 90.00
loop_
_atom_site_label
_atom_site_fract_x
_atom_site_fract_y
_atom_site_fract_z
_atom_site_occupancy
Er1 0.000 0.000 0.000 1
Th1 0.000 0.000 0.500 1
Mn1 0.250 0.250 0.250 1
Zn1 0.250 0.250 0.750 1
```

Output
As for the total DFT energy (no corrections): -5.62 eV per atom. The density of states at the Fermi level comes out at 0.9383 states/eV per atom. The calculation puts the formation energy from the elements at -0.05 eV per formula unit.